Record 1
First-principles (PBE) data for an optimized crystal structure of ZnGaNi, as listed in Alexandria.

Lattice parameters (Å, degrees): 4.034 4.034 6.953 73.14 73.14 60.00
Sites, in units of the cell vectors:
Ni 0.746 0.746 0.761
Ni 0.254 0.254 0.239
Zn 0.873 0.873 0.382
Zn 0.127 0.127 0.618
Ga 0.378 0.378 0.865
Ga 0.622 0.622 0.135

Results
Space-group type   R-3m (166)
Formation enthalpy at 0 K   -0.1699 eV/atom

***

Record 2
First-principles (PBE) data for an optimized crystal structure of PmPr5Nd6, as listed in Alexandria.

Lattice parameters (Å, degrees): 12.243 6.403 6.404 60.01 84.95 79.85
Sites, in units of the cell vectors:
Pr 0.000 0.333 0.333
Pr 0.500 0.500 0.000
Pr 0.500 0.167 0.667
Pr 0.500 0.833 0.333
Pr 0.000 0.667 0.667
Nd 0.250 0.250 0.000
Nd 0.751 0.416 0.667
Nd 0.249 0.584 0.333
Nd 0.750 0.750 0.000
Nd 0.249 0.917 0.667
Nd 0.751 0.083 0.333
Pm 0.000 0.000 0.000

Results
Space-group type   C2/m (12)
Formation enthalpy at 0 K   0.0120 eV/atom

***

Record 3
First-principles (PBE) data for an optimized crystal structure of TbPm4Cd2, as listed in Alexandria.

Lattice parameters (Å, degrees): 5.589 5.589 9.362 72.63 72.63 60.00
Sites, in units of the cell vectors:
Cd 0.616 0.616 0.151
Cd 0.384 0.384 0.849
Pm 0.736 0.736 0.791
Pm 0.870 0.870 0.390
Pm 0.264 0.264 0.209
Pm 0.130 0.130 0.610
Tb 0.500 0.500 0.500

Results
Space-group type   R-3m (166)
Formation enthalpy at 0 K   0.1081 eV/atom

***

Record 4
First-principles (PBE) data for an optimized crystal structure of Tb2PrDy2Tm, as listed in Alexandria.

Lattice parameters (Å, degrees): 5.610 9.807 6.956 90.00 90.00 90.00
Sites, in units of the cell vectors:
Tm 0.500 0.500 0.000
Tm 0.000 0.000 0.500
Pr 0.000 0.000 0.000
Pr 0.500 0.500 0.500
Tb 0.500 0.167 0.748
Tb 0.000 0.667 0.752
Tb 0.000 0.333 0.248
Tb 0.500 0.833 0.252
Dy 0.000 0.333 0.751
Dy 0.500 0.833 0.749
Dy 0.500 0.167 0.251
Dy 0.000 0.667 0.249

Results
Space-group type   Pnnm (58)
Formation enthalpy at 0 K   0.0670 eV/atom

***

Record 5
First-principles (PBE) data for an optimized crystal structure of BeSi2H, as listed in Alexandria.

Lattice parameters (Å, degrees): 3.935 5.076 5.918 103.16 94.77 100.08
Sites, in units of the cell vectors:
H 0.733 0.917 0.958
H 0.654 0.464 0.779
Si 0.191 0.335 0.164
Si 0.044 0.426 0.798
Si 0.958 0.060 0.456
Si 0.382 0.782 0.418
Be 0.508 0.724 0.775
Be 0.606 0.087 0.143

Results
Space-group type   P1 (1)
Raw total energy   -4.250 eV/atom

***

Record 6
First-principles (PBE) data for an optimized crystal structure of Na4Tl2In2Hg, as listed in Alexandria.

Lattice parameters (Å, degrees): 5.886 8.983 7.555 120.59 130.39 83.10
Sites, in units of the cell vectors:
Na 0.676 0.676 0.358
Na 0.554 0.219 0.112
Na 0.446 0.781 0.888
Na 0.324 0.324 0.642
Hg 0.000 0.000 0.000
In 0.113 0.448 0.219
In 0.887 0.552 0.781
Tl 0.794 0.119 0.574
Tl 0.206 0.881 0.426

Results
Space-group type   P-1 (2)
Formation enthalpy at 0 K   -0.1152 eV/atom

***

Record 7
First-principles (PBE) data for an optimized crystal structure of Np2BeB2Ru5, as listed in Alexandria.

Lattice parameters (Å, degrees): 3.059 9.427 9.427 90.00 90.00 90.00
Each line ends with the local moment (μB).
Sites, in units of the cell vectors:
Ru 0.500 0.289 0.570  -0.23
Ru 0.500 0.430 0.289  -0.23
Ru 0.500 0.500 0.000  -0.20
Ru 0.500 0.070 0.789  -0.23
Ru 0.500 0.000 0.500  -0.20
Ru 0.500 0.711 0.430  -0.23
Ru 0.500 0.211 0.070  -0.23
Ru 0.500 0.570 0.711  -0.23
Ru 0.500 0.930 0.211  -0.23
Ru 0.500 0.789 0.930  -0.23
B 0.000 0.374 0.126  0.00
B 0.000 0.626 0.874  0.00
B 0.000 0.126 0.626  0.00
B 0.000 0.874 0.374  0.00
Np 0.000 0.824 0.676  2.85
Np 0.000 0.324 0.824  2.85
Np 0.000 0.676 0.176  2.85
Np 0.000 0.176 0.324  2.85
Be 0.000 0.500 0.500  -0.01
Be 0.000 0.000 0.000  -0.01

Results
Space-group type   P4/mbm (127)
Formation enthalpy at 0 K   -0.2875 eV/atom

***

Record 8
First-principles (PBE) data for an optimized crystal structure of Sr2TlRhPb, as listed in Alexandria.

Lattice parameters (Å, degrees): 5.717 5.717 5.256 90.00 90.00 90.00
Each line ends with the local moment (μB).
Sites, in units of the cell vectors:
Sr 0.000 0.500 0.000  0.01
Sr 0.500 0.000 0.000  0.01
Pb 0.500 0.500 0.500  0.11
Tl 0.000 0.000 0.500  0.01
Rh 0.000 0.000 0.000  0.06

Results
Space-group type   P4/mmm (123)
Formation enthalpy at 0 K   -0.2127 eV/atom

***

Record 9
First-principles (PBE) data for an optimized crystal structure of Cu2Au, as listed in Alexandria.

Lattice parameters (Å, degrees): 3.671 6.135 3.933 90.00 90.00 72.59
Sites, in units of the cell vectors:
Au 0.089 0.822 0.750
Au 0.911 0.178 0.250
Cu 0.753 0.494 0.750
Cu 0.589 0.822 0.250
Cu 0.247 0.506 0.250
Cu 0.411 0.178 0.750

Results
Space-group type   Cmcm (63)
Formation enthalpy at 0 K   -0.0371 eV/atom

***

Record 10
First-principles (PBE) data for an optimized crystal structure of VCuPd2, as listed in Alexandria.

Lattice parameters (Å, degrees): 4.321 4.321 4.321 60.00 60.00 60.00
Each line ends with the local moment (μB).
Sites, in units of the cell vectors:
Pd 0.750 0.750 0.750  0.13
Pd 0.250 0.250 0.250  0.13
V 0.000 0.000 0.000  1.30
Cu 0.500 0.500 0.500  -0.01

Results
Space-group type   Fm-3m (225)
Formation enthalpy at 0 K   -0.1041 eV/atom

***

Record 11
First-principles (PBE) data for an optimized crystal structure of Na2PuSc3Se6, as listed in Alexandria.

Lattice parameters (Å, degrees): 6.873 6.873 7.142 99.28 99.28 119.96
Each line ends with the local moment (μB).
Sites, in units of the cell vectors:
Pu 0.000 0.000 0.000  5.46
Se 0.424 0.091 0.273  -0.02
Se 0.091 0.424 0.273  -0.02
Se 0.758 0.758 0.274  -0.02
Se 0.909 0.576 0.727  -0.02
Se 0.242 0.242 0.726  -0.02
Se 0.576 0.909 0.727  -0.02
Sc 0.500 0.500 0.500  0.18
Sc 0.832 0.168 0.500  0.17
Sc 0.168 0.832 0.500  0.17
Na 0.666 0.334 0.000  0.00
Na 0.334 0.666 0.000  0.00

Results
Space-group type   C2/m (12)
Raw total energy   -6.303 eV/atom

***

Record 12
First-principles (PBE) data for an optimized crystal structure of Dy2Y7Ho2, as listed in Alexandria.

Lattice parameters (Å, degrees): 5.520 8.149 9.341 115.86 107.18 90.00
Sites, in units of the cell vectors:
Y 0.863 0.192 0.725
Y 0.661 0.784 0.322
Y 0.139 0.053 0.279
Y 0.339 0.462 0.678
Y 0.137 0.467 0.275
Y 0.500 0.921 0.000
Y 0.861 0.775 0.721
Ho 0.000 0.623 0.000
Ho 0.500 0.333 0.000
Dy 0.299 0.921 0.599
Dy 0.701 0.323 0.401

Results
Space-group type   Imm2 (44)
Formation enthalpy at 0 K   0.1137 eV/atom

***

Record 13
First-principles (PBE) data for an optimized crystal structure of YCd2In2, as listed in Alexandria.

Lattice parameters (Å, degrees): 4.491 4.491 7.056 71.44 71.44 90.00
Sites, in units of the cell vectors:
Cd 0.605 0.605 0.790
Cd 0.395 0.395 0.210
In 0.250 0.750 0.500
In 0.750 0.250 0.500
Y 0.000 0.000 0.000

Results
Space-group type   I4/mmm (139)
Formation enthalpy at 0 K   -0.1419 eV/atom

***

Record 14
First-principles (PBE) data for an optimized crystal structure of Tb2SmBr, as listed in Alexandria.

Lattice parameters (Å, degrees): 3.667 3.667 10.491 79.93 79.93 60.00
Sites, in units of the cell vectors:
Tb 0.742 0.742 0.774
Tb 0.258 0.258 0.226
Br 0.000 0.000 0.000
Sm 0.500 0.500 0.500

Results
Space-group type   R-3m (166)
Raw total energy   -4.446 eV/atom

***

Record 15
First-principles (PBE) data for an optimized crystal structure of AlNiSb2, as listed in Alexandria.

Lattice parameters (Å, degrees): 4.892 4.892 4.892 60.00 60.00 60.00
Sites, in units of the cell vectors:
Sb 0.250 0.250 0.250
Sb 0.000 0.000 0.000
Al 0.500 0.500 0.500
Ni 0.750 0.750 0.750

Results
Space-group type   F-43m (216)
Raw total energy   -4.025 eV/atom

***

Record 16
First-principles (PBE) data for an optimized crystal structure of Rb2ZnGaI, as listed in Alexandria.

Lattice parameters (Å, degrees): 6.924 4.682 6.924 90.00 90.00 90.00
Sites, in units of the cell vectors:
I 0.500 0.500 0.500
Zn 0.000 0.500 0.000
Rb 0.000 0.000 0.500
Rb 0.500 0.000 0.000
Ga 0.000 0.000 0.000

Results
Space-group type   P4/mmm (123)
Raw total energy   -1.891 eV/atom

***

Record 17
First-principles (PBE) data for an optimized crystal structure of Li2MgGaCu, as listed in Alexandria.

Lattice parameters (Å, degrees): 4.753 5.005 4.753 90.00 90.00 90.00
Sites, in units of the cell vectors:
Ga 0.000 0.000 0.000
Li 0.000 0.000 0.500
Li 0.500 0.000 0.000
Cu 0.500 0.500 0.500
Mg 0.000 0.500 0.000

Results
Space-group type   P4/mmm (123)
Formation enthalpy at 0 K   0.4297 eV/atom

***

Record 18
First-principles (PBE) data for an optimized crystal structure of PmNF3, as listed in Alexandria.

Lattice parameters (Å, degrees): 6.041 6.078 10.705 90.03 90.00 90.00
Sites, in units of the cell vectors:
F 0.254 0.257 0.731
F 0.252 0.257 0.269
F 0.654 0.642 0.000
F 0.846 0.142 0.500
F 0.746 0.743 0.269
F 0.748 0.743 0.731
F 0.754 0.243 0.769
F 0.752 0.243 0.231
F 0.248 0.757 0.769
F 0.246 0.757 0.231
F 0.346 0.358 0.000
F 0.154 0.858 0.500
Pm 0.001 0.000 0.680
Pm 0.499 0.500 0.180
Pm 0.501 0.500 0.820
Pm 0.999 0.000 0.320
N 0.500 0.500 0.448
N 0.000 0.000 0.052
N 0.000 0.000 0.948
N 0.500 0.500 0.552

Results
Space-group type   P2_1/c (14)
Raw total energy   -6.942 eV/atom

***

Record 19
First-principles (PBE) data for an optimized crystal structure of Ba2TiNbPb, as listed in Alexandria.

Lattice parameters (Å, degrees): 6.616 5.322 6.616 90.00 90.00 90.00
Each line ends with the local moment (μB).
Sites, in units of the cell vectors:
Ti 0.000 0.500 0.000  1.50
Ba 0.000 0.000 0.500  0.08
Ba 0.500 0.000 0.000  0.07
Nb 0.500 0.500 0.500  2.95
Pb 0.000 0.000 0.000  -0.05

Results
Space-group type   P4/mmm (123)
Formation enthalpy at 0 K   1.1422 eV/atom

***

Record 20
First-principles (PBE) data for an optimized crystal structure of Si2AsPt, as listed in Alexandria.

Lattice parameters (Å, degrees): 3.061 3.061 6.828 90.00 90.00 90.01
Sites, in units of the cell vectors:
Pt 0.500 0.500 0.750
As 0.500 0.500 0.250
Si 0.000 0.000 0.976
Si 0.000 0.000 0.524

Results
Space-group type   P4/mmm (123)
Raw total energy   -5.283 eV/atom